# 1
Compound: LiAc2CeSe5
Source: Alexandria
Functional: GGA-PBE
Structure: optimized geometry

Structure (POSCAR):
```
LiAc2CeSe5
1.0
2.176 -8.944 0.000
2.176 8.944 0.000
0.000 0.000 12.858
Li Ac Ce Se
2 4 2 10
Direct
0.016 0.984 0.500
0.984 0.016 0.000
0.376 0.624 0.321
0.390 0.610 0.706
0.610 0.390 0.206
0.624 0.376 0.821
0.303 0.697 0.023
0.697 0.303 0.523
0.001 0.999 0.304
0.137 0.863 0.020
0.193 0.807 0.366
0.210 0.790 0.680
0.455 0.545 0.085
0.545 0.455 0.585
0.790 0.210 0.180
0.807 0.193 0.866
0.863 0.137 0.520
0.999 0.001 0.804
```

Results
As for the crystal system: orthorhombic. The uncorrected energy comes out at -100.0 eV for the cell shown. The density of states at the Fermi level is 11.48 states/eV per cell. As for the uncorrected formation energy: -1.834 eV/atom.

# 2
Compound: La3Pr2S8
Source: Alexandria
Functional: GGA-PBE
Structure: optimized geometry

Structure (POSCAR):
```
La3Pr2S8
1.0
7.142 -4.206 0.000
7.142 4.206 0.000
-2.556 0.000 6.600
La Pr S
3 2 8
Direct
0.000 0.000 0.000
0.265 0.735 0.500
0.735 0.265 0.500
0.268 0.268 0.851
0.732 0.732 0.149
0.102 0.645 0.085
0.117 0.117 0.440
0.355 0.898 0.915
0.380 0.380 0.594
0.620 0.620 0.406
0.645 0.102 0.085
0.883 0.883 0.560
0.898 0.355 0.915
```

Results
As for the crystal system: monoclinic. The uncorrected energy comes out at -81.9 eV for the cell shown. The density of states at the Fermi level is 9.40 states/eV per cell. As for the uncorrected formation energy: -1.884 eV/atom.